First-principles (PBEsol) data for a relaxed AlSbTe2 crystal, as listed in the Alexandria database.

Unit cell a=3.834 b=4.944 c=11.219 alpha=90.00 beta=90.00 gamma=90.00
Space group Imm2 (No. 44)
Inequivalent atoms, fractional coordinates:
Al 0.000 0.000 0.000
Sb 0.000 0.500 0.306
Te 0.000 0.000 0.465
Te 0.000 0.500 0.678

Output
**M_tot**: 0.0 μB per formula unit
**Formation energy (no corrections)**: 33.3 meV/atom
**VASP energy**: -3.8920 eV per atom

=====

First-principles (PBEsol) data for a relaxed Ca3ZrRh crystal, as listed in the Alexandria database.

Unit cell a=5.268 b=5.268 c=5.268 alpha=90.00 beta=90.00 gamma=90.00
Space group Pm-3m (No. 221)
Inequivalent atoms, fractional coordinates:
Ca 0.000 0.000 0.500
Zr 0.000 0.000 0.000
Rh 0.500 0.500 0.500

Output
**M_tot**: 2.0 μB per formula unit
**VASP energy**: -3.2307 eV per atom

=====

First-principles (PBEsol) data for a relaxed Ta2Ru3 crystal, as listed in the Alexandria database.

Unit cell a=4.2784 b=4.2784 c=5.2476 alpha=90.00 beta=90.00 gamma=120.00
Space group P-3m1 (No. 164)
Inequivalent atoms, fractional coordinates:
Ta 0.3333 0.6667 0.3119
Ru 0.0000 0.0000 0.5000
Ru 0.3333 0.6667 0.8288

Output
**M_tot**: 0.0 μB per formula unit
**VASP energy**: -11.0763 eV per atom

=====

First-principles (PBEsol) data for a relaxed RbBaCd2Sb crystal, as listed in the Alexandria database.

Unit cell a=6.005 b=6.005 c=6.611 alpha=90.00 beta=90.00 gamma=90.00
Space group P4/mmm (No. 123)
Inequivalent atoms, fractional coordinates:
Rb 0.000 0.000 0.000
Ba 0.000 0.000 0.500
Cd 0.000 0.500 0.500
Sb 0.500 0.500 0.000

Output
**M_tot**: 0.0 μB per formula unit
**Formation energy (no corrections)**: 810.7 meV/atom
**VASP energy**: -1.2144 eV per atom